Entry from Alexandria: crystalline RbTlCo2W at its relaxed geometry (GGA-PBE).

```
RbTlCo2W
1.0
4.6861 0.0000 0.0000
0.0000 4.6861 0.0000
0.0000 0.0000 5.5479
Rb Tl Co W
1 1 2 1
direct
0.0000 0.0000 0.0000
0.5000 0.5000 0.0000
0.0000 0.5000 0.5000
0.5000 0.0000 0.5000
0.5000 0.5000 0.5000
```

Computed properties:
Symmetry: P4/mmm, No. 123
ρ, g/cm3: 8.06

***

Entry from Alexandria: crystalline RbYTlCo2 at its relaxed geometry (GGA-PBE).

```
RbYTlCo2
1.0
4.8185 0.0000 0.0000
0.0000 4.8185 0.0000
0.0000 0.0000 5.7522
Rb Y Tl Co
1 1 1 2
direct
0.0000 0.0000 0.0000
0.5000 0.5000 0.5000
0.0000 0.0000 0.5000
0.0000 0.5000 0.0000
0.5000 0.0000 0.0000
```

Computed properties:
Symmetry: P4/mmm, No. 123
ρ, g/cm3: 6.17

***

no.,ΔE_f (eV/f.u.)
1,5.952
2,8.455